This record from the Alexandria database describes a relaxed I2O2F crystal. The functional is PBE.

E_tot = -1.9654 eV/atom
Magnetization = 4.008 μB per formula unit

Unit cell a=4.863 b=4.863 c=4.625 alpha=90.00 beta=90.00 gamma=90.00
Space group P4/mmm (No. 123)
Inequivalent atoms, fractional coordinates:
I 0.000 0.500 0.000 [2 per cell]
O 0.000 0.000 0.500 [1 per cell]
O 0.500 0.500 0.500 [1 per cell]
F 0.000 0.000 0.000 [1 per cell]